(1)
Entry from Alexandria: TmSbIr at its PBEsol-relaxed geometry (meta-GGA SCAN).

a = 6.9952 Å, b = 4.4506 Å, c = 7.7930 Å
α = 90.00°, β = 90.00°, γ = 90.00°
Atoms (fractional coordinates):
Tm 0.0100 0.2500 0.1919
Tm 0.4900 0.7500 0.6919
Tm 0.5100 0.2500 0.3081
Tm 0.9900 0.7500 0.8081
Sb 0.1777 0.2500 0.5886
Sb 0.3223 0.7500 0.0886
Sb 0.6777 0.2500 0.9114
Sb 0.8223 0.7500 0.4114
Ir 0.2122 0.7500 0.4125
Ir 0.2878 0.2500 0.9125
Ir 0.7122 0.7500 0.0875
Ir 0.7878 0.2500 0.5875

Summary:
- formation energy without anion corrections (eV per atom) = -1.0730
- magnetic moment (μB/f.u.) = 0.00
- N(E_F) (states/eV/f.u.) = 1.260

(2)
Entry from Alexandria: Sc5Ta at its PBEsol-relaxed geometry (meta-GGA SCAN).

a = 5.9825 Å, b = 5.9825 Å, c = 7.4523 Å
α = 102.68°, β = 102.68°, γ = 30.45°
Atoms (fractional coordinates):
Sc 0.0000 0.0000 0.0000
Sc 0.0536 0.0536 0.5935
Sc 0.3374 0.3374 0.6461
Sc 0.6737 0.6737 0.3203
Sc 0.7373 0.7373 0.9495
Ta 0.3932 0.3932 0.2727

Summary:
- magnetic moment (μB/f.u.) = 1.50
- energy above the most stable polymorph in this dataset (eV per atom) = 0.000
- ΔH_f (0 K) (eV per atom) = 0.10
- N(E_F) (states/eV/f.u.) = 6.433

(3)
Entry from Alexandria: SrTl2W at its PBEsol-relaxed geometry (meta-GGA SCAN).

a = 3.1711 Å, b = 4.0447 Å, c = 7.2492 Å
α = 90.00°, β = 90.00°, γ = 90.00°
Atoms (fractional coordinates):
Sr 0.0000 0.0000 0.0000
Tl 0.5000 0.5000 0.2892
Tl 0.5000 0.5000 0.7108
W 0.0000 0.0000 0.5000

Summary:
- magnetic moment (μB/f.u.) = 0.00
- energy above the most stable polymorph in this dataset (eV per atom) = 0.000
- ΔH_f (0 K) (eV per atom) = 0.58
- N(E_F) (states/eV/f.u.) = 2.628

(4)
Entry from Alexandria: TlTcH2 at its PBEsol-relaxed geometry (meta-GGA SCAN).

a = 3.9165 Å, b = 3.9165 Å, c = 3.9165 Å
α = 60.00°, β = 60.00°, γ = 60.00°
Atoms (fractional coordinates):
Tl 0.0000 0.0000 0.0000
Tc 0.5000 0.5000 0.5000
H 0.2500 0.2500 0.2500
H 0.7500 0.7500 0.7500

Summary:
- magnetic moment (μB/f.u.) = 0.00
- energy above the most stable polymorph in this dataset (eV per atom) = 0.811
- N(E_F) (states/eV/f.u.) = 2.560